# 1
VASP calculation (PBE) on TiAgTe2N after structural relaxation.

a b c (Å): 5.532 5.532 3.924
angles (deg): 90.00 90.00 90.00
Element x y z (fractional)
Ti: 0.000 0.000 0.000
Ag: 0.500 0.500 0.500
Te: 0.000 0.500 0.500
Te: 0.500 0.000 0.500
N: 0.500 0.500 0.000

The spin magnetization is 3.03 μB per formula unit. The calculation puts the offset from the most stable computed form at 952.8 meV per atom. The formation energy without anion corrections is 1.01 eV per atom.



# 2
VASP calculation (PBE) on TiAgTe2N after structural relaxation.

a b c (Å): 5.632 5.632 3.686
angles (deg): 90.00 90.00 90.00
Element x y z (fractional)
Ti: 0.000 0.000 0.000
Ag: 0.500 0.500 0.500
Te: 0.000 0.500 0.000
Te: 0.500 0.000 0.000
N: 0.000 0.000 0.500

The spin magnetization is 0.00 μB per formula unit. The calculation puts the offset from the most stable computed form at 0.0 meV per atom. The formation energy without anion corrections is 0.05 eV per atom.



# 3
VASP calculation (PBE) on TlAgTe2N after structural relaxation.

a b c (Å): 5.993 5.993 4.192
angles (deg): 90.00 90.00 90.00
Element x y z (fractional)
Tl: 0.000 0.000 0.000
Ag: 0.500 0.500 0.500
Te: 0.000 0.500 0.000
Te: 0.500 0.000 0.000
N: 0.000 0.000 0.500

The spin magnetization is 2.25 μB per formula unit. The calculation puts the offset from the most stable computed form at 366.1 meV per atom. The formation energy without anion corrections is 1.22 eV per atom.



# 4
VASP calculation (PBE) on TlAgTe2N after structural relaxation.

a b c (Å): 5.857 5.857 3.966
angles (deg): 90.00 90.00 90.00
Element x y z (fractional)
Tl: 0.000 0.000 0.000
Ag: 0.500 0.500 0.500
Te: 0.000 0.500 0.500
Te: 0.500 0.000 0.500
N: 0.500 0.500 0.000

The spin magnetization is 1.60 μB per formula unit. The calculation puts the offset from the most stable computed form at 0.0 meV per atom. The formation energy without anion corrections is 0.86 eV per atom.



# 5
VASP calculation (PBE) on AgTeWN2 after structural relaxation.

a b c (Å): 4.024 4.024 5.418
angles (deg): 90.00 90.00 90.00
Element x y z (fractional)
Ag: 0.000 0.000 0.000
Te: 0.000 0.000 0.500
W: 0.500 0.500 0.500
N: 0.000 0.500 0.000
N: 0.500 0.000 0.000

The spin magnetization is 0.00 μB per formula unit. The calculation puts the offset from the most stable computed form at 2171.2 meV per atom. The formation energy without anion corrections is 2.56 eV per atom.



# 6
VASP calculation (PBE) on AgTeWN2 after structural relaxation.

a b c (Å): 3.944 3.944 5.766
angles (deg): 90.00 90.00 90.00
Element x y z (fractional)
Ag: 0.000 0.000 0.000
Te: 0.500 0.500 0.000
W: 0.500 0.500 0.500
N: 0.000 0.500 0.500
N: 0.500 0.000 0.500

The spin magnetization is 0.00 μB per formula unit. The calculation puts the offset from the most stable computed form at 0.0 meV per atom. The formation energy without anion corrections is 0.39 eV per atom.



# 7
VASP calculation (PBE) on ZnAgTe2N after structural relaxation.

a b c (Å): 5.643 5.643 3.902
angles (deg): 90.00 90.00 90.00
Element x y z (fractional)
Zn: 0.000 0.000 0.000
Ag: 0.500 0.500 0.500
Te: 0.000 0.500 0.500
Te: 0.500 0.000 0.500
N: 0.500 0.500 0.000

The spin magnetization is 1.17 μB per formula unit. The calculation puts the offset from the most stable computed form at 294.3 meV per atom. The formation energy without anion corrections is 1.09 eV per atom.



# 8
VASP calculation (PBE) on ZnAgTe2N after structural relaxation.

a b c (Å): 5.785 5.785 3.545
angles (deg): 90.00 90.00 90.00
Element x y z (fractional)
Zn: 0.000 0.000 0.000
Ag: 0.500 0.500 0.500
Te: 0.000 0.500 0.000
Te: 0.500 0.000 0.000
N: 0.000 0.000 0.500

The spin magnetization is 1.75 μB per formula unit. The calculation puts the offset from the most stable computed form at 0.0 meV per atom. The formation energy without anion corrections is 0.79 eV per atom.



Sequential final energy output: -4.07 -5.02 -2.74 -3.11 -4.56 -6.73 -2.66 -2.95 eV per atom